1.
# PBE-GGA Er2TmPt3, relaxed
data_Er2TmPt3
_chemical_formula_sum 'Er2 Tm1 Pt3'
_cell_length_a 4.0350
_cell_length_b 5.7040
_cell_length_c 6.9715
_cell_angle_alpha 114.15
_cell_angle_beta 106.82
_cell_angle_gamma 90.00
_space_group_name_H-M_alt 'P 1'
_space_group_IT_number 1
loop_
_space_group_symop_operation_xyz
'x,y,z'
loop_
_atom_site_label
_atom_site_type_symbol
_atom_site_fract_x
_atom_site_fract_y
_atom_site_fract_z
Pt1 Pt 0.3342 0.3342 0.6685
Tm1 Tm 0.0000 0.5000 0.0000
Pt2 Pt 0.0000 0.0000 0.0000
Pt3 Pt 0.6658 0.6658 0.3315
Er1 Er 0.6669 0.1669 0.3339
Er2 Er 0.3331 0.8331 0.6661
# DOS at the Fermi energy, states/eV/f.u.: 5.15
# Electronic total energy, eV/atom: -6.43
# Formation energy from the elements, eV per atom: -1.15
# Total magnetization, μB per atom: 0.00

---

2.
# PBE-GGA ErUPt4, relaxed
data_ErUPt4
_chemical_formula_sum 'Er1 U1 Pt4'
_cell_length_a 5.4254
_cell_length_b 5.4254
_cell_length_c 5.4254
_cell_angle_alpha 60.00
_cell_angle_beta 60.00
_cell_angle_gamma 60.00
_space_group_name_H-M_alt 'P 1'
_space_group_IT_number 1
loop_
_space_group_symop_operation_xyz
'x,y,z'
loop_
_atom_site_label
_atom_site_type_symbol
_atom_site_fract_x
_atom_site_fract_y
_atom_site_fract_z
Pt1 Pt 0.6252 0.6252 0.6252
Pt2 Pt 0.6252 0.1244 0.6252
U1 U 0.2500 0.2500 0.2500
Er1 Er 0.0000 0.0000 0.0000
Pt3 Pt 0.6252 0.6252 0.1244
Pt4 Pt 0.1244 0.6252 0.6252
# DOS at the Fermi energy, states/eV/f.u.: 8.87
# Electronic total energy, eV/atom: -7.53
# Formation energy from the elements, eV per atom: -0.86
# Total magnetization, μB per atom: 0.41

---

3.
# PBE-GGA Er2UPt9, relaxed
data_Er2UPt9
_chemical_formula_sum 'Er2 U1 Pt9'
_cell_length_a 4.1252
_cell_length_b 4.1252
_cell_length_c 12.3098
_cell_angle_alpha 90.00
_cell_angle_beta 90.00
_cell_angle_gamma 90.00
_space_group_name_H-M_alt 'P 1'
_space_group_IT_number 1
loop_
_space_group_symop_operation_xyz
'x,y,z'
loop_
_atom_site_label
_atom_site_type_symbol
_atom_site_fract_x
_atom_site_fract_y
_atom_site_fract_z
Pt1 Pt 0.5000 0.5000 0.3333
Pt2 Pt 0.5000 0.5000 0.6667
Pt3 Pt 0.0000 0.5000 0.1643
Pt4 Pt 0.5000 0.0000 0.1643
Pt5 Pt 0.5000 0.0000 0.5000
Er1 Er 0.0000 0.0000 0.6626
Pt6 Pt 0.5000 0.5000 0.0000
Pt7 Pt 0.0000 0.5000 0.5000
Pt8 Pt 0.5000 0.0000 0.8357
U1 U 0.0000 0.0000 0.0000
Er2 Er 0.0000 0.0000 0.3374
Pt9 Pt 0.0000 0.5000 0.8357
# DOS at the Fermi energy, states/eV/f.u.: 9.16
# Electronic total energy, eV/atom: -7.22
# Formation energy from the elements, eV per atom: -0.99
# Total magnetization, μB per atom: 0.10

---

4.
# PBE-GGA ErUPt, relaxed
data_ErUPt
_chemical_formula_sum 'Er2 U2 Pt2'
_cell_length_a 3.7519
_cell_length_b 3.7519
_cell_length_c 10.1025
_cell_angle_alpha 100.70
_cell_angle_beta 100.70
_cell_angle_gamma 90.00
_space_group_name_H-M_alt 'P 1'
_space_group_IT_number 1
loop_
_space_group_symop_operation_xyz
'x,y,z'
loop_
_atom_site_label
_atom_site_type_symbol
_atom_site_fract_x
_atom_site_fract_y
_atom_site_fract_z
Er1 Er 0.8970 0.8970 0.7941
U1 U 0.7246 0.7246 0.4492
Pt1 Pt 0.5681 0.5681 0.1363
Pt2 Pt 0.4319 0.4319 0.8637
U2 U 0.2754 0.2754 0.5508
Er2 Er 0.1030 0.1030 0.2059
# DOS at the Fermi energy, states/eV/f.u.: 3.99
# Electronic total energy, eV/atom: -7.74
# Formation energy from the elements, eV per atom: -0.45
# Total magnetization, μB per atom: 0.00